(1)
Computed, not measured: crystalline LiSiSb2 at its relaxed geometry at the GGA-PBE level of DFT.

For the density of states at the Fermi level, the calculation gives 3.07 states/eV/cell. For the total magnetic moment, the calculation gives 0.0 Bohr magnetons per cell.

It has space group C2/m (No. 12), with a = 6.4655 Å, b = 8.2289 Å, c = 3.3034 Å, α = 90.00°, β = 94.99° and γ = 90.00°. The inequivalent atoms are Li at (0.0000, 0.0000, 0.0000), Si at (0.0000, 0.5000, 0.0000) and Sb at (0.2500, 0.2500, 0.5000).



(2)
Computed, not measured: crystalline Li2Si2Sb at its relaxed geometry at the GGA-PBE level of DFT.

For the density of states at the Fermi level, the calculation gives 5.14 states/eV/cell. For the total magnetic moment, the calculation gives 0.0 Bohr magnetons per cell. For the energy above the most stable polymorph in this dataset, the calculation gives 0.0 kJ/mol of atoms.

It has space group I4/mmm (No. 139), with a = 3.3987 Å, b = 3.3987 Å, c = 16.9726 Å, α = 90.00°, β = 90.00° and γ = 90.00°. The inequivalent atoms are Li at (0.0000, 0.0000, 0.1127), Si at (0.0000, 0.5000, 0.2500) and Sb at (0.0000, 0.0000, 0.5000).



(3)
Computed, not measured: crystalline LiSiSb2 at its relaxed geometry at the GGA-PBE level of DFT.

For the density of states at the Fermi level, the calculation gives 1.52 states/eV/cell. For the total magnetic moment, the calculation gives 0.0 Bohr magnetons per cell.

It has space group Pm (No. 6), with a = 3.0734 Å, b = 4.1597 Å, c = 7.1328 Å, α = 90.00°, β = 90.09° and γ = 90.00°. The inequivalent atoms are Li at (0.0000, 0.0000, 0.0000), Si at (0.4992, 0.5000, 0.8364), Sb at (0.4979, 0.0000, 0.5899) and Sb at (0.5006, 0.5000, 0.2168).



(4)
Computed, not measured: crystalline LiSi4Sb at its relaxed geometry at the GGA-PBE level of DFT.

For the density of states at the Fermi level, the calculation gives 8.28 states/eV/cell. For the total magnetic moment, the calculation gives 0.0 Bohr magnetons per cell.

It has space group F-43m (No. 216), with a = 7.4550 Å, b = 7.4550 Å, c = 7.4550 Å, α = 90.00°, β = 90.00° and γ = 90.00°. The inequivalent atoms are Li at (0.0000, 0.0000, 0.0000), Si at (0.1272, 0.1272, 0.3728) and Sb at (0.2500, 0.2500, 0.7500).



(5)
Computed, not measured: crystalline LiSiSb2 at its relaxed geometry at the GGA-PBE level of DFT.

For the density of states at the Fermi level, the calculation gives 3.88 states/eV/cell. For the total magnetic moment, the calculation gives 0.0 Bohr magnetons per cell.

It has space group Cmmm (No. 65), with a = 4.2772 Å, b = 5.0021 Å, c = 8.1937 Å, α = 90.00°, β = 90.00° and γ = 90.00°. The inequivalent atoms are Li at (0.0000, 0.0000, 0.0000), Si at (0.0000, 0.0000, 0.5000) and Sb at (0.0000, 0.5000, 0.2552).



(6)
Computed, not measured: crystalline Li2Si2Sb at its relaxed geometry at the GGA-PBE level of DFT.

For the density of states at the Fermi level, the calculation gives 1.99 states/eV/cell. For the total magnetic moment, the calculation gives 0.0 Bohr magnetons per cell. For the energy above the most stable polymorph in this dataset, the calculation gives 3.9 kJ/mol of atoms.

It has space group P4/mbm (No. 127), with a = 7.8987 Å, b = 7.8987 Å, c = 2.8613 Å, α = 90.00°, β = 90.00° and γ = 90.00°. The inequivalent atoms are Li at (0.1929, 0.3071, 0.0000), Si at (0.1040, 0.6040, 0.5000) and Sb at (0.0000, 0.0000, 0.5000).



(7)
Computed, not measured: crystalline LiSiSb3 at its relaxed geometry at the GGA-PBE level of DFT.

For the density of states at the Fermi level, the calculation gives 3.94 states/eV/cell. For the total magnetic moment, the calculation gives 0.0 Bohr magnetons per cell. For the energy above the most stable polymorph in this dataset, the calculation gives 0.0 kJ/mol of atoms.

It has space group Pm-3m (No. 221), with a = 5.2917 Å, b = 5.2917 Å, c = 5.2917 Å, α = 90.00°, β = 90.00° and γ = 90.00°. The inequivalent atoms are Li at (0.0000, 0.0000, 0.0000), Si at (0.5000, 0.5000, 0.5000) and Sb at (0.0000, 0.5000, 0.5000).



(8)
Computed, not measured: crystalline LiSiSb at its relaxed geometry at the GGA-PBE level of DFT.

For the density of states at the Fermi level, the calculation gives 5.20 states/eV/cell. For the total magnetic moment, the calculation gives 0.0 Bohr magnetons per cell. For the energy above the most stable polymorph in this dataset, the calculation gives 18.3 kJ/mol of atoms.

It has space group Fmm2 (No. 42), with a = 4.0956 Å, b = 5.3407 Å, c = 11.6090 Å, α = 90.00°, β = 90.00° and γ = 90.00°. The inequivalent atoms are Li at (0.0000, 0.0000, 0.0000), Si at (0.0000, 0.0000, 0.3501) and Sb at (0.0000, 0.0000, 0.6970).



(9)
Computed, not measured: crystalline LiSiSb2Te at its relaxed geometry at the GGA-PBE level of DFT.

For the density of states at the Fermi level, the calculation gives 4.41 states/eV/cell. For the total magnetic moment, the calculation gives 0.0 Bohr magnetons per cell. For the energy above the most stable polymorph in this dataset, the calculation gives 0.0 kJ/mol of atoms.

It has space group P4/mmm (No. 123), with a = 5.2835 Å, b = 5.2835 Å, c = 5.3684 Å, α = 90.00°, β = 90.00° and γ = 90.00°. The inequivalent atoms are Li at (0.0000, 0.0000, 0.0000), Si at (0.5000, 0.5000, 0.5000), Sb at (0.0000, 0.5000, 0.5000) and Te at (0.5000, 0.5000, 0.0000).



(10)
Computed, not measured: crystalline LiSiSb2Te at its relaxed geometry at the GGA-PBE level of DFT.

For the density of states at the Fermi level, the calculation gives 3.51 states/eV/cell. For the total magnetic moment, the calculation gives 0.0 Bohr magnetons per cell. For the energy above the most stable polymorph in this dataset, the calculation gives 22.4 kJ/mol of atoms.

It has space group P4/mmm (No. 123), with a = 4.8800 Å, b = 4.8800 Å, c = 5.3028 Å, α = 90.00°, β = 90.00° and γ = 90.00°. The inequivalent atoms are Li at (0.0000, 0.0000, 0.0000), Si at (0.5000, 0.5000, 0.5000), Sb at (0.0000, 0.5000, 0.0000) and Te at (0.0000, 0.0000, 0.5000).



(11)
Computed, not measured: crystalline LiSiSbTe2 at its relaxed geometry at the GGA-PBE level of DFT.

For the density of states at the Fermi level, the calculation gives 3.30 states/eV/cell. For the total magnetic moment, the calculation gives 0.0 Bohr magnetons per cell. For the energy above the most stable polymorph in this dataset, the calculation gives 0.0 kJ/mol of atoms.

It has space group P4/mmm (No. 123), with a = 5.3920 Å, b = 5.3920 Å, c = 5.2341 Å, α = 90.00°, β = 90.00° and γ = 90.00°. The inequivalent atoms are Li at (0.0000, 0.0000, 0.0000), Si at (0.5000, 0.5000, 0.5000), Sb at (0.5000, 0.5000, 0.0000) and Te at (0.0000, 0.5000, 0.5000).



(12)
Computed, not measured: crystalline LiSiSbTe2 at its relaxed geometry at the GGA-PBE level of DFT.

For the density of states at the Fermi level, the calculation gives 2.92 states/eV/cell. For the total magnetic moment, the calculation gives 0.0 Bohr magnetons per cell. For the energy above the most stable polymorph in this dataset, the calculation gives 27.8 kJ/mol of atoms.

It has space group P4/mmm (No. 123), with a = 5.1909 Å, b = 5.1909 Å, c = 4.7692 Å, α = 90.00°, β = 90.00° and γ = 90.00°. The inequivalent atoms are Li at (0.0000, 0.0000, 0.0000), Si at (0.5000, 0.5000, 0.5000), Sb at (0.0000, 0.0000, 0.5000) and Te at (0.0000, 0.5000, 0.0000).



| no. | ΔE_f (raw) (eV/atom) |
| --- | --- |
| 1 | 0.0950 |
| 2 | -0.0571 |
| 3 | 0.0164 |
| 4 | 0.3182 |
| 5 | 0.1251 |
| 6 | -0.0165 |
| 7 | 0.4450 |
| 8 | 0.1715 |
| 9 | 0.3606 |
| 10 | 0.5927 |
| 11 | 0.2544 |
| 12 | 0.5428 |